PrNdCuHg | PBE-GGA | relaxed

Structure (POSCAR):
```
PrNdCuHg
1.0
-0.486 0.689 5.234
2.431 -3.315 3.347
4.144 1.677 2.849
Pr Nd Hg Cu
1 1 1 1
Cartesian
0.000 0.000 0.000
3.045 -0.474 5.714
4.567 -0.712 8.572
1.522 -0.237 2.857
```

Summary:
Its formation energy is -0.2709 eV/atom. As for the uncorrected energy: -3.7572 eV per atom.


BeZnCl2 | PBE-GGA | relaxed

Structure (POSCAR):
```
BeZnCl2
1.0
8.444 0.048 0.028
7.789 3.263 0.028
7.789 1.589 2.850
Be Zn Cl
1 1 2
Cartesian
17.995 3.670 2.178
11.829 2.413 1.432
0.874 0.178 0.106
5.335 1.088 0.646
```

Summary:
The calculation puts the formation energy without anion corrections at -564.2 meV per atom. As for the uncorrected energy: -2.7376 eV per atom.


Cs2CaTe2 | PBE-GGA | relaxed

Structure (POSCAR):
```
Cs2CaTe2
1.0
-8.257 -1.193 3.214
3.412 -2.043 8.007
-0.215 5.559 1.510
Cs Ca Te
4 2 4
Cartesian
0.926 1.309 6.316
-2.444 0.258 9.704
-5.986 1.015 6.415
-2.616 2.065 3.027
0.000 0.000 0.000
-2.422 -1.618 5.610
0.155 -2.057 7.595
-4.451 -2.367 8.080
-5.000 -1.179 3.626
-0.394 -0.868 3.141
```

Summary:
The calculation puts the formation energy without anion corrections at -981.4 meV per atom. As for the uncorrected energy: -2.9798 eV per atom.


MnAuI4 | PBE-GGA | relaxed

Structure (POSCAR):
```
MnAuI4
1.0
-5.394 1.158 -5.696
-5.037 -4.810 3.792
-3.580 7.648 4.945
Mn Au I
2 2 8
Cartesian
-2.518 -2.405 1.896
-4.487 4.403 -0.375
-1.790 3.824 2.473
0.000 0.000 0.000
-7.034 3.523 -0.858
-5.367 -0.344 -3.353
-9.631 1.043 1.097
-5.064 -3.308 1.449
-6.977 0.473 3.899
-2.586 -0.941 -0.416
-7.845 -2.711 -1.487
-4.381 2.953 1.944
```

Summary:
The calculation puts the formation energy without anion corrections at -146.3 meV per atom. As for the uncorrected energy: -3.2542 eV per atom.


Ti7Sb2H2Pt | PBE-GGA | relaxed

Structure (POSCAR):
```
Ti7Sb2H2Pt
1.0
3.915 -0.003 0.012
0.002 3.915 0.012
1.931 1.929 11.821
Ti Sb H Pt
7 2 2 1
Cartesian
1.958 1.956 0.012
1.940 1.938 4.805
3.908 3.903 7.041
3.908 1.946 2.191
1.951 3.905 2.191
3.897 1.935 9.654
1.940 3.894 9.654
3.902 3.897 4.267
1.946 1.944 7.578
3.897 3.892 9.862
1.951 1.949 1.983
0.000 0.000 0.000
```

Summary:
As for the uncorrected energy: -6.8777 eV per atom.


Nd4TeS2N | PBE-GGA | relaxed

Structure (POSCAR):
```
Nd4TeS2N
1.0
-6.350 -1.741 3.213
-0.437 -3.257 5.726
-2.807 3.609 4.762
Nd Te S N
4 1 2 1
Cartesian
-4.556 0.569 4.906
-2.677 -1.311 7.601
-6.036 -2.631 6.458
-5.918 0.594 8.438
0.000 0.000 0.000
-2.399 -0.348 3.425
-7.195 -1.042 10.277
-4.797 -0.695 6.851
```

Summary:
The calculation puts the formation energy without anion corrections at -1418.7 meV per atom. As for the uncorrected energy: -6.2678 eV per atom.


Repeat the second record exactly.
BeZnCl2 | PBE-GGA | relaxed

Structure (POSCAR):
```
BeZnCl2
1.0
8.444 0.048 0.028
7.789 3.263 0.028
7.789 1.589 2.850
Be Zn Cl
1 1 2
Cartesian
17.995 3.670 2.178
11.829 2.413 1.432
0.874 0.178 0.106
5.335 1.088 0.646
```

Summary:
The calculation puts the formation energy without anion corrections at -564.2 meV per atom. As for the uncorrected energy: -2.7376 eV per atom.


- Among the records above, which one has the highest uncorrected energy?
  BeZnCl2


- The lowest uncorrected energy belongs to which entry?
  Ti7Sb2H2Pt


- Look up the uncorrected energy of the first one.
  -3.7572 eV per atom